First-principles (PBE with a Hubbard U) data for NiCO3 after structural relaxation, as listed in the Alexandria database.

Its size of the total moment is 8.00 Bohr magnetons per cell. The space group is Pna2_1 (33). The calculation puts the total DFT energy (no corrections) at -131.09 eV/cell.

a = 6.172 Å, b = 4.250 Å, c = 7.906 Å
α = 90.00°, β = 90.00°, γ = 90.00°
Sites, in units of the cell vectors:
Ni: 0.048 0.171 0.000
Ni: 0.452 0.671 0.500
Ni: 0.548 0.329 0.000
Ni: 0.952 0.829 0.500
C: 0.191 0.596 0.189
C: 0.309 0.096 0.689
C: 0.691 0.904 0.189
C: 0.809 0.404 0.689
O: 0.076 0.697 0.064
O: 0.205 0.742 0.332
O: 0.212 0.824 0.670
O: 0.288 0.324 0.170
O: 0.295 0.242 0.832
O: 0.424 0.197 0.564
O: 0.576 0.803 0.064
O: 0.705 0.758 0.332
O: 0.712 0.676 0.670
O: 0.788 0.176 0.170
O: 0.795 0.258 0.832
O: 0.924 0.303 0.564